Entry 1:
Below is an optimized crystal structure of SrSb2OsI, with properties calculated at the PBE level.

```
SrSb2OsI
1.0
-4.7413 -2.0738 3.3786
0.3140 -5.4472 -2.9028
3.8276 -1.9906 4.1495
I Sb Os Sr
1 2 1 1
Direct
0.0000 0.0000 0.5000
0.0000 0.5000 0.0000
0.5000 0.0000 0.0000
0.5000 0.5000 0.5000
0.0000 0.0000 0.0000
```

**SG**: P4/mmm, No. 123
**D(E_F)**: 8.0 states/eV/f.u.
**VASP energy**: -2.8531 eV/atom
**Formation energy from raw total energies**: 1.688 eV/atom
**ρ**: 4.71 g/cm3


Entry 2:
Below is an optimized crystal structure of YTmPbO2, with properties calculated at the PBE level.

```
YTmPbO2
1.0
-3.8079 -0.3132 -0.1790
0.2492 -0.9120 -3.7062
2.2605 -6.2166 3.6554
Y Tm Pb O
1 1 1 2
Direct
0.8298 0.8298 0.6596
0.1727 0.1727 0.3453
0.5014 0.5014 0.0029
0.7480 0.2480 0.4961
0.2480 0.7480 0.4961
```

**SG**: I4mm, No. 107
**D(E_F)**: 1.9 states/eV/f.u.
**VASP energy**: -7.4767 eV/atom
**Formation energy from raw total energies**: -2.565 eV/atom
**ρ**: 7.99 g/cm3


Entry 3:
Below is an optimized crystal structure of Pu3MgRu4, with properties calculated at the PBE level.

```
Pu3MgRu4
1.0
4.5027 0.0098 1.3241
2.0373 3.9919 1.4146
0.0418 -0.1319 8.1163
Ru Mg Pu
4 1 3
Direct
0.8761 0.8775 0.3692
0.3729 0.3742 0.8776
0.1239 0.1225 0.6308
0.6271 0.6258 0.1224
0.0000 0.0000 0.0000
0.2550 0.2547 0.2364
0.7450 0.7453 0.7636
0.5000 0.5000 0.5000
```

**SG**: C2/m, No. 12
**D(E_F)**: 14.7 states/eV/f.u.
**ΔE_f**: -0.16 eV per atom
**VASP energy**: -10.3759 eV/atom
**ρ**: 13.20 g/cm3


Entry 4:
Below is an optimized crystal structure of SmHfNi2, with properties calculated at the PBE level.

```
SmHfNi2
1.0
3.2718 0.0000 0.0000
0.0000 4.6980 0.0000
0.0000 0.0000 4.6980
Ni Hf Sm
2 1 1
Direct
0.0000 0.0000 0.5000
0.0000 0.5000 0.0000
0.5000 0.5000 0.5000
0.5000 0.0000 0.0000
```

**SG**: P4/mmm, No. 123
**D(E_F)**: 3.7 states/eV/f.u.
**ΔE_f**: -0.26 eV per atom
**VASP energy**: -6.8227 eV/atom
**ρ**: 10.26 g/cm3


Entry 5:
Below is an optimized crystal structure of Co2BiIr2, with properties calculated at the PBE level.

```
Co2BiIr2
1.0
7.4165 0.0000 0.0000
0.0000 7.4165 0.0000
0.0000 0.0000 2.8573
Ir Co Bi
4 4 2
Direct
0.1298 0.6298 0.5000
0.6298 0.8702 0.5000
0.8702 0.3702 0.5000
0.3702 0.1298 0.5000
0.3379 0.8379 0.0000
0.8379 0.6621 0.0000
0.6621 0.1621 0.0000
0.1621 0.3379 0.0000
0.0000 0.0000 0.0000
0.5000 0.5000 0.0000
```

**SG**: P4/mbm, No. 127
**D(E_F)**: 5.6 states/eV/f.u.
**ΔE_f**: 0.39 eV per atom
**VASP energy**: -6.7692 eV/atom
**ρ**: 15.03 g/cm3


Entry 6:
Below is an optimized crystal structure of PmHoHg2, with properties calculated at the PBE level.

```
PmHoHg2
1.0
3.7263 0.0000 0.0000
0.0000 3.7263 0.0000
0.0000 0.0000 7.6577
Pm Hg Ho
1 2 1
Direct
0.5000 0.5000 0.5000
0.0000 0.0000 0.7667
0.0000 0.0000 0.2333
0.5000 0.5000 0.0000
```

**SG**: P4/mmm, No. 123
**D(E_F)**: 3.9 states/eV/f.u.
**ΔE_f**: -0.48 eV per atom
**VASP energy**: -2.9615 eV/atom
**ρ**: 11.11 g/cm3


Entry 7:
Below is an optimized crystal structure of Er2IrRu3, with properties calculated at the PBE level.

```
Er2IrRu3
1.0
4.6465 -0.1406 -2.4476
-2.9530 4.3397 -0.2188
-0.1408 0.1878 5.3838
Er Ir Ru
2 1 3
Direct
0.7537 0.3766 0.1304
0.2463 0.6234 0.8696
0.0000 0.0000 0.0000
0.5000 0.5000 0.5000
0.0000 0.0000 0.5000
0.5000 0.0000 0.5000
```

**SG**: C2/m, No. 12
**D(E_F)**: 6.0 states/eV/f.u.
**ΔE_f**: -0.47 eV per atom
**VASP energy**: -8.1095 eV/atom
**ρ**: 12.96 g/cm3


Entry 8:
Below is an optimized crystal structure of NaAg2H2Se2, with properties calculated at the PBE level.

```
NaAg2H2Se2
1.0
-0.5319 1.4923 -3.7356
-2.8061 0.1418 2.6599
2.7522 8.9047 3.1653
Na Ag H Se
1 2 2 2
Direct
0.0000 0.0000 0.0000
0.8255 0.6509 0.4095
0.1745 0.3491 0.5905
0.4336 0.8673 0.8041
0.5664 0.1327 0.1959
0.3388 0.6777 0.2105
0.6612 0.3223 0.7895
```

**SG**: C2/m, No. 12
**D(E_F)**: 0.5 states/eV/f.u.
**VASP energy**: -3.0639 eV/atom
**ρ**: 5.04 g/cm3


Entry 9:
Below is an optimized crystal structure of Pr2UTe4, with properties calculated at the PBE level.

```
Pr2UTe4
1.0
2.7223 -7.7598 -0.2891
-6.2113 0.5480 5.3692
-2.6308 2.2544 -7.4636
Pr U Te
4 2 8
Direct
0.6250 0.7520 0.6270
0.1250 0.9980 0.3730
0.2480 0.8750 0.8730
0.0020 0.3750 0.1270
0.7500 0.2500 0.5000
0.5000 0.5000 0.0000
0.7193 0.9706 0.1002
0.5307 0.1310 0.7513
0.3810 0.2807 0.2513
0.2206 0.4693 0.6002
0.3797 0.7794 0.2487
0.8690 0.6203 0.3998
0.0294 0.1297 0.7487
0.8703 0.6190 0.8998
```

**SG**: I-42d, No. 122
**D(E_F)**: 10.0 states/eV/f.u.
**VASP energy**: -5.9121 eV/atom
**Formation energy from raw total energies**: -1.139 eV/atom
**ρ**: 7.98 g/cm3


Entry 10:
Below is an optimized crystal structure of Ho2Al2MoRu5, with properties calculated at the PBE level.

```
Ho2Al2MoRu5
1.0
-2.5342 1.6120 -1.2484
-5.1658 -8.6573 -0.6923
-3.6659 1.4433 9.3055
Ho Al Mo Ru
4 4 2 10
Direct
0.0000 0.6715 0.1715
0.0000 0.3285 0.8285
0.0000 0.1715 0.3285
0.0000 0.8285 0.6715
0.0000 0.1269 0.6269
0.0000 0.8731 0.3731
0.0000 0.6269 0.8731
0.0000 0.3731 0.1269
0.0000 0.0000 0.0000
0.0000 0.5000 0.5000
0.5000 0.1967 0.0654
0.5000 0.8033 0.9346
0.5000 0.0654 0.8033
0.5000 0.6967 0.4346
0.5000 0.9346 0.1967
0.5000 0.3033 0.5654
0.5000 0.5654 0.6967
0.5000 0.4346 0.3033
0.5000 0.5000 0.0000
0.5000 0.0000 0.5000
```

**SG**: P4/mbm, No. 127
**D(E_F)**: 6.2 states/eV/f.u.
**ΔE_f**: -0.37 eV per atom
**VASP energy**: -7.7558 eV/atom
**ρ**: 9.85 g/cm3


Entry 11:
Below is an optimized crystal structure of Ac2Mg4AlZn3, with properties calculated at the PBE level.

```
Ac2Mg4AlZn3
1.0
4.7231 0.0000 0.0000
0.0000 4.7231 0.0000
0.0000 0.0000 11.1347
Ac Mg Al Zn
2 4 1 3
Direct
0.5000 0.0000 0.2602
0.0000 0.5000 0.7398
0.5000 0.5000 0.0000
0.0000 0.0000 0.0000
0.5000 0.0000 0.6293
0.0000 0.5000 0.3707
0.5000 0.5000 0.5000
0.0000 0.0000 0.5000
0.5000 0.0000 0.8672
0.0000 0.5000 0.1328
```

**SG**: P-4m2, No. 115
**D(E_F)**: 10.6 states/eV/f.u.
**ΔE_f**: -0.16 eV per atom
**VASP energy**: -2.3805 eV/atom
**ρ**: 5.18 g/cm3


Entry 12:
Below is an optimized crystal structure of AlCu3Au7, with properties calculated at the PBE level.

```
AlCu3Au7
1.0
4.8562 -0.0395 -0.0506
-2.3207 6.3309 0.3065
-2.3207 -1.2375 6.2163
Al Cu Au
1 3 7
Direct
0.5000 0.5000 0.5000
0.0000 0.7707 0.2293
0.5000 0.0000 0.0000
0.0000 0.2293 0.7707
0.1708 0.1799 0.1799
0.3296 0.0615 0.6000
0.6704 0.4000 0.9385
0.3296 0.6000 0.0615
0.0000 0.5000 0.5000
0.6704 0.9385 0.4000
0.8292 0.8201 0.8201
```

**SG**: C2/m, No. 12
**D(E_F)**: 3.4 states/eV/f.u.
**ΔE_f**: 0.01 eV per atom
**VASP energy**: -3.5345 eV/atom
**ρ**: 13.84 g/cm3